First-principles (PBE-GGA) data for a geometry-optimized CdFeAs2 structure, as listed in the Alexandria database.

The space group is I4/mmm (No. 139) and the conventional cell measures 4.2502, 4.2502 and 7.9577 Å, with angles of 90.00, 90.00 and 90.00 degrees. The asymmetric unit holds Cd at (0.0000, 0.0000, 0.0000), Fe at (0.0000, 0.0000, 0.5000) and As at (0.0000, 0.5000, 0.2500).

For the formation energy, the calculation gives 0.4037 eV per atom. For the total magnetization, the calculation gives 4.92 μB per cell. Its volume is 18.0 Å³/atom. As for the density of states at the Fermi level: 9.3 states/eV per cell.